## LiRe2Sb (PBE-GGA)

Data for crystalline LiRe2Sb at its relaxed geometry.

The value obtained for the formation energy from raw total energies is 45 kJ/mol of atoms. The density of states at the Fermi level is 2.8 states/eV/f.u. The calculation puts the total moment at 0.0 μB per formula unit. As for the crystal system: monoclinic.

Cell: 2.8605 4.6547 4.9580 Å, 90.00 92.40 90.00°
Space group P2/m (No. 10)
One atom of each set of equivalent atoms:
Li 0.0000 0.0000 0.0000 x1
Re 0.3123 0.5000 0.7724 x2
Sb 0.5000 0.0000 0.5000 x1

## NaHfBr2O (PBE-GGA)

Data for crystalline NaHfBr2O at its relaxed geometry.

The value obtained for the formation energy from raw total energies is 85 kJ/mol of atoms. The density of states at the Fermi level is 3.6 states/eV/f.u. The calculation puts the total moment at 1.2 μB per formula unit. As for the crystal system: tetragonal.

Cell: 4.7985 4.7985 6.0082 Å, 90.00 90.00 90.00°
Space group P4/mmm (No. 123)
One atom of each set of equivalent atoms:
Na 0.0000 0.0000 0.0000 x1
Hf 0.0000 0.0000 0.5000 x1
Br 0.0000 0.5000 0.0000 x2
O 0.5000 0.5000 0.5000 x1

## LiBC (PBE-GGA)

Data for crystalline LiBC at its relaxed geometry.

The density of states at the Fermi level is 0.4 states/eV/f.u. The final energy comes out at -71.9 eV/cell. The calculation puts the total moment at 0.0 μB per formula unit. As for the crystal system: orthorhombic.

Cell: 3.7117 3.9115 7.1732 Å, 90.00 90.00 90.00°
Space group Immm (No. 71)
One atom of each set of equivalent atoms:
Li 0.0000 0.0000 0.1903 x4
B 0.0000 0.2883 0.5000 x4
C 0.1915 0.5000 0.0000 x4

## Ta3Zn2N (PBE-GGA)

Data for crystalline Ta3Zn2N at its relaxed geometry.

The value obtained for the formation energy from raw total energies is -51 kJ/mol of atoms. The density of states at the Fermi level is 1.0 states/eV/f.u. The calculation puts the total moment at 0.0 μB per formula unit. As for the crystal system: cubic.

Cell: 7.0043 7.0043 7.0043 Å, 90.00 90.00 90.00°
Space group P4_132 (No. 213)
One atom of each set of equivalent atoms:
Ta 0.0419 0.1250 0.7919 x12
Zn 0.0713 0.9287 0.4287 x8
N 0.1250 0.3750 0.6250 x4

## AcCuSn (PBE-GGA)

Data for crystalline AcCuSn at its relaxed geometry.

The density of states at the Fermi level is 1.0 states/eV/f.u. The calculation puts the total moment at 0.0 μB per formula unit. As for the crystal system: cubic. The distance to the lowest polymorph of the same formula is 0.19 eV per formula unit.

Cell: 6.9649 6.9649 6.9649 Å, 90.00 90.00 90.00°
Space group F-43m (No. 216)
One atom of each set of equivalent atoms:
Ac 0.0000 0.0000 0.0000 x4
Cu 0.2500 0.2500 0.7500 x4
Sn 0.0000 0.0000 0.5000 x4

## TlFeTc2 (PBE-GGA)

Data for crystalline TlFeTc2 at its relaxed geometry.

The density of states at the Fermi level is 3.4 states/eV/f.u. The calculation puts the total moment at 2.1 μB per formula unit. As for the crystal system: orthorhombic. The distance to the lowest polymorph of the same formula is 0.34 eV per formula unit.

Cell: 2.8919 3.7731 5.9548 Å, 90.00 90.00 90.00°
Space group Pmmm (No. 47)
One atom of each set of equivalent atoms:
Tl 0.0000 0.0000 0.0000 x1
Fe 0.0000 0.0000 0.5000 x1
Tc 0.5000 0.5000 0.3041 x2